1.
Here is a relaxed structure of MgHF2 from the Alexandria database. Energies are from PBE.

Total magnetization (Bohr magnetons per cell): 1.0
ΔE to the lowest computed polymorph (meV per atom): 205
Energy (eV/atom): -3.98
Space group: Fm-3m (225)

a = 3.656 Å, b = 3.656 Å, c = 3.656 Å
α = 60.00°, β = 60.00°, γ = 60.00°
Positions (direct):
F  0.250  0.250  0.250
H  0.000  0.000  0.000
F  0.750  0.750  0.750
Mg  0.500  0.500  0.500



2.
Here is a relaxed structure of Mg2H3F from the Alexandria database. Energies are from PBE.

Total magnetization (Bohr magnetons per cell): 0.0
ΔE to the lowest computed polymorph (meV per atom): 0
Energy (eV/atom): -3.54
Space group: Cmcm (63)

a = 4.572 Å, b = 4.572 Å, c = 6.087 Å
α = 90.00°, β = 90.00°, γ = 88.62°
Positions (direct):
Mg  0.000  0.000  0.500
H  0.305  0.695  0.000
H  0.806  0.806  0.750
H  0.305  0.695  0.500
Mg  0.493  0.493  0.250
H  0.695  0.305  0.000
Mg  0.507  0.507  0.750
H  0.695  0.305  0.500
F  0.201  0.201  0.750
F  0.799  0.799  0.250
H  0.194  0.194  0.250
Mg  0.000  0.000  0.000



3.
Here is a relaxed structure of MgHF2 from the Alexandria database. Energies are from PBE.

Total magnetization (Bohr magnetons per cell): 0.0
ΔE to the lowest computed polymorph (meV per atom): 1044
Energy (eV/atom): -3.14
Space group: R-3m (166)

a = 5.958 Å, b = 5.958 Å, c = 5.958 Å
α = 28.66°, β = 28.66°, γ = 28.66°
Positions (direct):
H  0.500  0.500  0.500
Mg  0.000  0.000  0.000
F  0.888  0.888  0.888
F  0.112  0.112  0.112



4.
Here is a relaxed structure of Mg2H3F6 from the Alexandria database. Energies are from PBE.

Total magnetization (Bohr magnetons per cell): 0.0
Energy (eV/atom): -4.40
Space group: C2/c (15)

a = 5.832 Å, b = 5.813 Å, c = 9.647 Å
α = 72.62°, β = 72.41°, γ = 59.89°
Positions (direct):
Mg  0.335  0.836  0.993
F  0.442  0.146  0.874
F  0.962  0.060  0.125
F  0.941  0.037  0.375
F  0.059  0.963  0.625
Mg  0.835  0.336  0.493
H  0.556  0.750  0.250
H  0.751  0.556  0.750
F  0.558  0.854  0.126
F  0.853  0.560  0.625
F  0.352  0.463  0.125
H  0.943  0.056  0.250
Mg  0.665  0.164  0.007
F  0.537  0.646  0.374
F  0.463  0.354  0.626
F  0.147  0.440  0.375
Mg  0.165  0.664  0.507
F  0.648  0.537  0.875
F  0.038  0.940  0.875
H  0.057  0.944  0.750
H  0.249  0.444  0.250
H  0.444  0.250  0.750



5.
Here is a relaxed structure of Mg2H6F from the Alexandria database. Energies are from PBE.

Total magnetization (Bohr magnetons per cell): 0.0
Energy (eV/atom): -2.58
Space group: Fm-3m (225)

a = 4.572 Å, b = 4.572 Å, c = 4.572 Å
α = 60.00°, β = 60.00°, γ = 60.00°
Positions (direct):
H  0.647  0.353  0.647
Mg  0.750  0.750  0.750
H  0.647  0.647  0.353
F  0.000  0.000  0.000
H  0.353  0.353  0.647
Mg  0.250  0.250  0.250
H  0.647  0.353  0.353
H  0.353  0.647  0.353
H  0.353  0.647  0.647



6.
Here is a relaxed structure of MgHF from the Alexandria database. Energies are from PBE.

Total magnetization (Bohr magnetons per cell): 0.0
ΔE to the lowest computed polymorph (meV per atom): 124
Energy (eV/atom): -4.01
Space group: F-43m (216)

a = 3.474 Å, b = 3.474 Å, c = 3.474 Å
α = 60.00°, β = 60.00°, γ = 60.00°
Positions (direct):
H  0.500  0.500  0.500
Mg  0.250  0.250  0.250
F  0.000  0.000  0.000